(1)
# MnV3Ga

MnV3Ga after structural relaxation (PBE-GGA, the Alexandria database).

For the energy of formation from the pure elements, the calculation gives -0.148 eV per atom. The calculation puts the size of the total moment at 0.00 μB per formula unit. Its volume is 261 Å³ per cell.

The space group is C2/m (No. 12) and the conventional cell measures 8.814, 4.132 and 7.320 Å, with angles of 90.00, 101.88 and 90.00 degrees. The inequivalent atoms are Mn at (0.150, 0.000, 0.037), V at (0.070, 0.500, 0.862), V at (0.152, 0.500, 0.558), V at (0.236, 0.500, 0.238) and Ga at (0.047, 0.000, 0.337).

(2)
# MnV5Ga5

MnV5Ga5 after structural relaxation (PBE-GGA, the Alexandria database).

For the energy of formation from the pure elements, the calculation gives 0.152 eV per atom. The calculation puts the size of the total moment at 0.00 μB per formula unit. Its volume is 332 Å³ per cell.

The space group is C2/m (No. 12) and the conventional cell measures 9.061, 4.385 and 8.559 Å, with angles of 90.00, 102.87 and 90.00 degrees. The inequivalent atoms are Mn at (0.000, 0.000, 0.000), V at (0.000, 0.500, 0.000), V at (0.109, 0.000, 0.252), V at (0.226, 0.000, 0.898), Ga at (0.000, 0.000, 0.500), Ga at (0.101, 0.500, 0.739) and Ga at (0.198, 0.500, 0.411).

(3)
# Mn2V2Ga

Mn2V2Ga after structural relaxation (PBE-GGA, the Alexandria database).

For the energy of formation from the pure elements, the calculation gives -0.145 eV per atom. The calculation puts the size of the total moment at 0.81 μB per formula unit. Its volume is 249 Å³ per cell.

The space group is Cm (No. 8) and the conventional cell measures 12.025, 4.161 and 5.055 Å, with angles of 90.00, 99.58 and 90.00 degrees. The inequivalent atoms are Mn at (0.000, 0.000, 0.000), Mn at (0.090, 0.500, 0.185), Mn at (0.201, 0.000, 0.892), Mn at (0.307, 0.500, 0.598), V at (0.291, 0.500, 0.090), V at (0.390, 0.000, 0.791), V at (0.407, 0.000, 0.290), V at (0.490, 0.500, 0.494), Ga at (0.100, 0.500, 0.700) and Ga at (0.200, 0.000, 0.382).

(4)
# MnV6Ga5

MnV6Ga5 after structural relaxation (PBE-GGA, the Alexandria database).

For the energy of formation from the pure elements, the calculation gives -0.175 eV per atom. The calculation puts the size of the total moment at 0.00 μB per formula unit. Its volume is 329 Å³ per cell.

The space group is Cmmm (No. 65) and the conventional cell measures 3.877, 11.032 and 7.689 Å, with angles of 90.00, 90.00 and 90.00 degrees. The inequivalent atoms are Mn at (0.000, 0.000, 0.000), V at (0.000, 0.160, 0.235), V at (0.000, 0.500, 0.255), Ga at (0.000, 0.000, 0.500), Ga at (0.000, 0.329, 0.500) and Ga at (0.000, 0.346, 0.000).

(5)
# Mn2V6Ga

Mn2V6Ga after structural relaxation (PBE-GGA, the Alexandria database).

For the energy of formation from the pure elements, the calculation gives 0.226 eV per atom. The calculation puts the size of the total moment at 0.00 μB per formula unit. Its volume is 126 Å³ per cell.

The space group is P4/mmm (No. 123) and the conventional cell measures 3.962, 3.962 and 8.054 Å, with angles of 90.00, 90.00 and 90.00 degrees. The inequivalent atoms are Mn at (0.000, 0.000, 0.135), V at (0.000, 0.000, 0.500), V at (0.000, 0.500, 0.285), V at (0.500, 0.500, 0.500) and Ga at (0.500, 0.500, 0.000).

(6)
# Mn3V2Ga

Mn3V2Ga after structural relaxation (PBE-GGA, the Alexandria database).

For the energy of formation from the pure elements, the calculation gives -0.223 eV per atom. The calculation puts the size of the total moment at 1.90 μB per formula unit. Its volume is 146 Å³ per cell.

The space group is Cmmm (No. 65) and the conventional cell measures 4.066, 12.205 and 2.946 Å, with angles of 90.00, 90.00 and 90.00 degrees. The inequivalent atoms are Mn at (0.000, 0.000, 0.000), Mn at (0.000, 0.328, 0.000), V at (0.000, 0.163, 0.500) and Ga at (0.000, 0.500, 0.500).

(7)
# Mn2V2Ga

Mn2V2Ga after structural relaxation (PBE-GGA, the Alexandria database).

For the energy of formation from the pure elements, the calculation gives -0.125 eV per atom. The calculation puts the size of the total moment at 0.50 μB per formula unit. Its volume is 250 Å³ per cell.

The space group is Amm2 (No. 38) and the conventional cell measures 3.999, 4.077 and 15.345 Å, with angles of 90.00, 90.00 and 90.00 degrees. The inequivalent atoms are Mn at (0.000, 0.000, 0.000), Mn at (0.000, 0.000, 0.188), Mn at (0.000, 0.000, 0.584), Mn at (0.500, 0.000, 0.501), V at (0.000, 0.000, 0.790), V at (0.500, 0.000, 0.086), V at (0.500, 0.000, 0.289), V at (0.500, 0.000, 0.896), Ga at (0.000, 0.000, 0.399) and Ga at (0.500, 0.000, 0.686).

(8)
# MnV6Ga

MnV6Ga after structural relaxation (PBE-GGA, the Alexandria database).

For the energy of formation from the pure elements, the calculation gives -0.119 eV per atom. The calculation puts the size of the total moment at 0.00 μB per formula unit. Its volume is 210 Å³ per cell.

The space group is Amm2 (No. 38) and the conventional cell measures 4.182, 5.939 and 8.441 Å, with angles of 90.00, 90.00 and 90.00 degrees. The inequivalent atoms are Mn at (0.000, 0.000, 0.000), V at (0.000, 0.000, 0.510), V at (0.000, 0.237, 0.257), V at (0.500, 0.000, 0.256), V at (0.500, 0.244, 0.005) and Ga at (0.500, 0.000, 0.751).

> Which value of size of the total moment does entry 6 give?

1.90 μB per formula unit

> The lowest energy of formation from the pure elements belongs to which entry?

Mn3V2Ga

> What is the formula in the fourth record?

MnV6Ga5